No. 1
DFT (GGA-PBE) results for TaZnTe2 after structural relaxation.

Results
- Magnetization: 0.0 μB per cell
- Density of states at the Fermi level: 4.80 states/eV per cell
- Uncorrected formation energy: 0.282 eV per atom

Cell and atoms, written as CIF:
```
data_TaZnTe2
_chemical_formula_sum 'Ta2 Zn2 Te4'
_symmetry_space_group_name_H-M 'C m m m'
_symmetry_Int_Tables_number 65
_symmetry_space_group_name_Hall '-C 2 2'
_cell_length_a 3.587
_cell_length_b 5.355
_cell_length_c 10.507
_cell_angle_alpha 90.00
_cell_angle_beta 90.00
_cell_angle_gamma 90.00
loop_
_atom_site_label
_atom_site_type_symbol
_atom_site_fract_x
_atom_site_fract_y
_atom_site_fract_z
Ta1 Ta 0.000 0.000 0.000
Zn1 Zn 0.000 0.000 0.500
Te1 Te 0.000 0.500 0.209
```


No. 2
DFT (GGA-PBE) results for LiAlCd after structural relaxation.

Results
- Magnetization: 0.0 μB per cell
- Excess energy over the best structure of this formula in the dataset: 67 meV per atom
- Density of states at the Fermi level: 2.10 states/eV per cell
- DFT formation energy: -0.074 eV per atom

Cell and atoms, written as CIF:
```
data_LiAlCd
_chemical_formula_sum 'Li2 Al2 Cd2'
_symmetry_space_group_name_H-M 'I 4 m m'
_symmetry_Int_Tables_number 107
_symmetry_space_group_name_Hall 'I 4 -2'
_cell_length_a 2.943
_cell_length_b 2.943
_cell_length_c 12.800
_cell_angle_alpha 90.00
_cell_angle_beta 90.00
_cell_angle_gamma 90.00
loop_
_atom_site_label
_atom_site_type_symbol
_atom_site_fract_x
_atom_site_fract_y
_atom_site_fract_z
Li1 Li 0.000 0.000 0.000
Al1 Al 0.000 0.000 0.656
Cd1 Cd 0.000 0.000 0.333
```


No. 3
DFT (GGA-PBE) results for LiZr2Pb after structural relaxation.

Results
- Magnetization: 0.0 μB per cell
- Density of states at the Fermi level: 2.82 states/eV per cell
- DFT formation energy: 0.031 eV per atom

Cell and atoms, written as CIF:
```
data_LiZr2Pb
_chemical_formula_sum 'Li1 Zr2 Pb1'
_symmetry_space_group_name_H-M 'P 1 2/m 1'
_symmetry_Int_Tables_number 10
_cell_length_a 3.193
_cell_length_b 5.215
_cell_length_c 5.446
_cell_angle_alpha 90.00
_cell_angle_beta 103.35
_cell_angle_gamma 90.00
loop_
_symmetry_equiv_pos_as_xyz
'x,y,z'
'-x,-y,-z'
'-x,y,-z'
'x,-y,z'
loop_
_atom_site_label
_atom_site_type_symbol
_atom_site_fract_x
_atom_site_fract_y
_atom_site_fract_z
Li1 Li 0.000 0.000 0.000
Zr1 Zr 0.253 0.500 0.754
Pb1 Pb 0.500 0.000 0.500
```


No. 4
DFT (GGA-PBE) results for PtPbN after structural relaxation.

Results
- Magnetization: 0.0 μB per cell
- Excess energy over the best structure of this formula in the dataset: 0 meV per atom
- Density of states at the Fermi level: 2.54 states/eV per cell
- Uncorrected formation energy: 0.081 eV per atom

Cell and atoms, written as CIF:
```
data_PtPbN
_chemical_formula_sum 'Pt4 Pb4 N4'
_symmetry_space_group_name_H-M 'P 1 21/c 1'
_symmetry_Int_Tables_number 14
_cell_length_a 11.490
_cell_length_b 3.954
_cell_length_c 7.864
_cell_angle_alpha 90.00
_cell_angle_beta 92.84
_cell_angle_gamma 90.00
loop_
_symmetry_equiv_pos_as_xyz
'x,y,z'
'-x,-y,-z'
'-x,y+1/2,-z+1/2'
'x,-y+1/2,z+1/2'
loop_
_atom_site_label
_atom_site_type_symbol
_atom_site_fract_x
_atom_site_fract_y
_atom_site_fract_z
Pt1 Pt 0.132 0.250 0.385
Pb1 Pb 0.117 0.750 0.133
N1 N 0.481 0.080 0.448
```


No. 5
DFT (GGA-PBE) results for Pr6Dy3Tm2Th after structural relaxation.

Results
- Magnetization: 0.0 μB per cell
- Density of states at the Fermi level: 31.33 states/eV per cell
- DFT formation energy: 0.035 eV per atom

Cell and atoms, written as CIF:
```
data_Pr6Dy3Tm2Th
_chemical_formula_sum 'Pr12 Dy6 Tm4 Th2'
_symmetry_space_group_name_H-M 'C 1 2/m 1'
_symmetry_Int_Tables_number 12
_cell_length_a 6.287
_cell_length_b 10.886
_cell_length_c 11.954
_cell_angle_alpha 90.00
_cell_angle_beta 100.13
_cell_angle_gamma 90.00
loop_
_symmetry_equiv_pos_as_xyz
'x,y,z'
'-x,-y,-z'
'-x,y,-z'
'x,-y,z'
'x+1/2,y+1/2,z'
'-x+1/2,-y+1/2,-z'
'-x+1/2,y+1/2,-z'
'x+1/2,-y+1/2,z'
loop_
_atom_site_label
_atom_site_type_symbol
_atom_site_fract_x
_atom_site_fract_y
_atom_site_fract_z
Pr1 Pr 0.247 0.000 0.252
Pr2 Pr 0.248 0.165 0.749
Dy1 Dy 0.000 0.167 0.000
Dy2 Dy 0.000 0.500 0.000
Tm1 Tm 0.000 0.333 0.500
Th1 Th 0.000 0.000 0.500
```


No. 6
DFT (GGA-PBE) results for CsNaSnI4 after structural relaxation.

Results
- Magnetization: 0.0 μB per cell
- Density of states at the Fermi level: 0.00 states/eV per cell
- Uncorrected formation energy: -0.955 eV per atom

Cell and atoms, written as CIF:
```
data_CsNaSnI4
_chemical_formula_sum 'Cs2 Na2 Sn2 I8'
_symmetry_space_group_name_H-M 'P 1 21/m 1'
_symmetry_Int_Tables_number 11
_cell_length_a 8.311
_cell_length_b 8.676
_cell_length_c 10.236
_cell_angle_alpha 90.00
_cell_angle_beta 104.80
_cell_angle_gamma 90.00
loop_
_symmetry_equiv_pos_as_xyz
'x,y,z'
'-x,-y,-z'
'-x,y+1/2,-z'
'x,-y+1/2,z'
loop_
_atom_site_label
_atom_site_type_symbol
_atom_site_fract_x
_atom_site_fract_y
_atom_site_fract_z
Cs1 Cs 0.201 0.250 0.047
Na1 Na 0.250 0.750 0.355
Sn1 Sn 0.206 0.250 0.572
I1 I 0.024 0.503 0.714
I2 I 0.466 0.250 0.397
I3 I 0.498 0.250 0.820
```